(1)
An optimized crystal structure of CsKSiF6, computed with PBE.

formation energy (no corrections) = -3.124 eV per atom
calculated density = 2.83 g cm⁻³

```
data_CsKSiF6
_chemical_formula_sum 'Cs1 K1 Si1 F6'
_symmetry_space_group_name_H-M 'P 3 1 2'
_symmetry_Int_Tables_number 149
_cell_length_a 6.1659
_cell_length_b 6.1659
_cell_length_c 5.6019
_cell_angle_alpha 90.00
_cell_angle_beta 90.00
_cell_angle_gamma 120.00
loop_
_symmetry_equiv_pos_as_xyz
'x,y,z'
'-y,x-y,z'
'-x+y,-x,z'
'-y,-x,-z'
'-x+y,y,-z'
'x,x-y,-z'
loop_
_atom_site_label
_atom_site_type_symbol
_atom_site_fract_x
_atom_site_fract_y
_atom_site_fract_z
_atom_site_occupancy
Cs1 Cs 0.0000 0.0000 0.0000 1
K1 K 0.3333 0.6667 0.5000 1
Si1 Si 0.6667 0.3333 0.5000 1
F1 F 0.4384 0.1039 0.6770 1
```


(2)
An optimized crystal structure of Cs2KSiF6, computed with PBE.

formation energy (no corrections) = -2.719 eV per atom
calculated density = 3.32 g cm⁻³

```
data_Cs2KSiF6
_chemical_formula_sum 'Cs4 K2 Si2 F12'
_symmetry_space_group_name_H-M 'I 4/m m m'
_symmetry_Int_Tables_number 139
_symmetry_space_group_name_Hall '-I 4 2'
_cell_length_a 6.809
_cell_length_b 6.809
_cell_length_c 9.647
_cell_angle_alpha 90.00
_cell_angle_beta 90.00
_cell_angle_gamma 90.00
loop_
_atom_site_label
_atom_site_type_symbol
_atom_site_fract_x
_atom_site_fract_y
_atom_site_fract_z
_atom_site_occupancy
Cs1 Cs 0.000 0.500 0.250 1
K1 K 0.000 0.000 0.000 1
Si1 Si 0.000 0.000 0.500 1
F1 F 0.000 0.000 0.319 1
F2 F 0.181 0.181 0.500 1
```


(3)
An optimized crystal structure of CsK2SmF6, computed with PBE.

formation energy (no corrections) = -3.301 eV per atom
calculated density = 3.46 g cm⁻³

```
data_CsK2SmF6
_chemical_formula_sum 'Cs3 K6 Sm3 F18'
_symmetry_space_group_name_H-M 'R 3'
_symmetry_Int_Tables_number 146
_symmetry_space_group_name_Hall 'R 3'
_cell_length_a 6.7207
_cell_length_b 6.7207
_cell_length_c 17.4998
_cell_angle_alpha 90.00
_cell_angle_beta 90.00
_cell_angle_gamma 120.00
loop_
_atom_site_label
_atom_site_type_symbol
_atom_site_fract_x
_atom_site_fract_y
_atom_site_fract_z
_atom_site_occupancy
Cs1 Cs 0.0000 0.0000 0.0000 1
K1 K 0.0000 0.0000 0.2718 1
K2 K 0.0000 0.0000 0.7831 1
Sm1 Sm 0.0000 0.0000 0.4832 1
F1 F 0.0221 0.3076 0.5437 1
F2 F 0.0264 0.7599 0.3972 1
```


(4)
An optimized crystal structure of CsKSn2F6, computed with PBE.

formation energy (no corrections) = -2.502 eV per atom
calculated density = 3.87 g cm⁻³

```
data_CsKSn2F6
_chemical_formula_sum 'Cs4 K4 Sn8 F24'
_symmetry_space_group_name_H-M 'C 1 2/c 1'
_symmetry_Int_Tables_number 15
_cell_length_a 14.588
_cell_length_b 8.496
_cell_length_c 8.885
_cell_angle_alpha 90.00
_cell_angle_beta 125.31
_cell_angle_gamma 90.00
loop_
_symmetry_equiv_pos_as_xyz
'x,y,z'
'-x,-y,-z'
'-x,y,-z+1/2'
'x,-y,z+1/2'
'x+1/2,y+1/2,z'
'-x+1/2,-y+1/2,-z'
'-x+1/2,y+1/2,-z+1/2'
'x+1/2,-y+1/2,z+1/2'
loop_
_atom_site_label
_atom_site_type_symbol
_atom_site_fract_x
_atom_site_fract_y
_atom_site_fract_z
_atom_site_occupancy
Cs1 Cs 0.000 0.188 0.250 1
K1 K 0.000 0.295 0.750 1
Sn1 Sn 0.247 0.481 0.713 1
F1 F 0.126 0.094 0.019 1
F2 F 0.126 0.464 0.260 1
F3 F 0.172 0.227 0.673 1
```


(5)
An optimized crystal structure of Cs2KSn2F7, computed with PBE.

formation energy (no corrections) = -2.512 eV per atom
calculated density = 3.99 g cm⁻³

```
data_Cs2KSn2F7
_chemical_formula_sum 'Cs4 K2 Sn4 F14'
_symmetry_space_group_name_H-M 'C 1 2/m 1'
_symmetry_Int_Tables_number 12
_cell_length_a 6.676
_cell_length_b 7.134
_cell_length_c 12.073
_cell_angle_alpha 90.00
_cell_angle_beta 102.00
_cell_angle_gamma 90.00
loop_
_symmetry_equiv_pos_as_xyz
'x,y,z'
'-x,-y,-z'
'-x,y,-z'
'x,-y,z'
'x+1/2,y+1/2,z'
'-x+1/2,-y+1/2,-z'
'-x+1/2,y+1/2,-z'
'x+1/2,-y+1/2,z'
loop_
_atom_site_label
_atom_site_type_symbol
_atom_site_fract_x
_atom_site_fract_y
_atom_site_fract_z
_atom_site_occupancy
Cs1 Cs 0.176 0.000 0.366 1
K1 K 0.000 0.000 0.000 1
Sn1 Sn 0.090 0.500 0.193 1
F1 F 0.000 0.500 0.000 1
F2 F 0.182 0.198 0.830 1
F3 F 0.248 0.500 0.389 1
```


(6)
An optimized crystal structure of CsKSnF6, computed with PBE.

formation energy (no corrections) = -2.759 eV per atom
calculated density = 3.21 g cm⁻³

```
data_CsKSnF6
_chemical_formula_sum 'Cs2 K2 Sn2 F12'
_symmetry_space_group_name_H-M 'C 1 2 1'
_symmetry_Int_Tables_number 5
_cell_length_a 6.485
_cell_length_b 11.261
_cell_length_c 5.731
_cell_angle_alpha 90.00
_cell_angle_beta 90.07
_cell_angle_gamma 90.00
loop_
_symmetry_equiv_pos_as_xyz
'x,y,z'
'-x,y,-z'
'x+1/2,y+1/2,z'
'-x+1/2,y+1/2,-z'
loop_
_atom_site_label
_atom_site_type_symbol
_atom_site_fract_x
_atom_site_fract_y
_atom_site_fract_z
_atom_site_occupancy
Cs1 Cs 0.000 0.000 0.000 1
K1 K 0.000 0.334 0.500 1
Sn1 Sn 0.000 0.667 0.500 1
F1 F 0.121 0.537 0.302 1
F2 F 0.133 0.793 0.303 1
F3 F 0.243 0.170 0.304 1
```


(7)
An optimized crystal structure of CsKSnF4, computed with PBE.

formation energy (no corrections) = -2.546 eV per atom
calculated density = 3.66 g cm⁻³

```
data_CsKSnF4
_chemical_formula_sum 'Cs2 K2 Sn2 F8'
_symmetry_space_group_name_H-M 'I 4 m m'
_symmetry_Int_Tables_number 107
_symmetry_space_group_name_Hall 'I 4 -2'
_cell_length_a 4.461
_cell_length_b 4.461
_cell_length_c 16.727
_cell_angle_alpha 90.00
_cell_angle_beta 90.00
_cell_angle_gamma 90.00
loop_
_atom_site_label
_atom_site_type_symbol
_atom_site_fract_x
_atom_site_fract_y
_atom_site_fract_z
_atom_site_occupancy
Cs1 Cs 0.000 0.000 0.000 1
K1 K 0.000 0.000 0.676 1
Sn1 Sn 0.000 0.000 0.305 1
F1 F 0.000 0.000 0.178 1
F2 F 0.000 0.000 0.524 1
F3 F 0.000 0.500 0.276 1
```


(8)
An optimized crystal structure of Cs2KSnF8, computed with PBE.

formation energy (no corrections) = -2.503 eV per atom
calculated density = 3.57 g cm⁻³

```
data_Cs2KSnF8
_chemical_formula_sum 'Cs2 K1 Sn1 F8'
_symmetry_space_group_name_H-M 'P 1 2/m 1'
_symmetry_Int_Tables_number 10
_cell_length_a 5.340
_cell_length_b 8.213
_cell_length_c 6.134
_cell_angle_alpha 90.00
_cell_angle_beta 94.77
_cell_angle_gamma 90.00
loop_
_symmetry_equiv_pos_as_xyz
'x,y,z'
'-x,-y,-z'
'-x,y,-z'
'x,-y,z'
loop_
_atom_site_label
_atom_site_type_symbol
_atom_site_fract_x
_atom_site_fract_y
_atom_site_fract_z
_atom_site_occupancy
Cs1 Cs 0.000 0.239 0.000 1
K1 K 0.500 0.500 0.500 1
Sn1 Sn 0.500 0.000 0.500 1
F1 F 0.005 0.500 0.338 1
F2 F 0.160 0.000 0.338 1
F3 F 0.415 0.181 0.706 1
```


(9)
An optimized crystal structure of Cs2KSrF5, computed with PBE.

formation energy (no corrections) = -3.054 eV per atom
calculated density = 3.58 g cm⁻³

```
data_Cs2KSrF5
_chemical_formula_sum 'Cs2 K1 Sr1 F5'
_symmetry_space_group_name_H-M 'P 4/m m m'
_symmetry_Int_Tables_number 123
_symmetry_space_group_name_Hall '-P 4 2'
_cell_length_a 4.736
_cell_length_b 4.736
_cell_length_c 10.078
_cell_angle_alpha 90.00
_cell_angle_beta 90.00
_cell_angle_gamma 90.00
loop_
_atom_site_label
_atom_site_type_symbol
_atom_site_fract_x
_atom_site_fract_y
_atom_site_fract_z
_atom_site_occupancy
Cs1 Cs 0.000 0.000 0.223 1
K1 K 0.500 0.500 0.500 1
Sr1 Sr 0.500 0.500 0.000 1
F1 F 0.000 0.000 0.500 1
F2 F 0.000 0.500 0.000 1
F3 F 0.500 0.500 0.244 1
```


(10)
An optimized crystal structure of Cs3K2TbF9, computed with PBE.

formation energy (no corrections) = -2.936 eV per atom
calculated density = 3.84 g cm⁻³

```
data_Cs3K2TbF9
_chemical_formula_sum 'Cs3 K2 Tb1 F9'
_symmetry_space_group_name_H-M 'P -3 m 1'
_symmetry_Int_Tables_number 164
_symmetry_space_group_name_Hall '-P 3 2"'
_cell_length_a 6.8628
_cell_length_b 6.8628
_cell_length_c 8.5533
_cell_angle_alpha 90.00
_cell_angle_beta 90.00
_cell_angle_gamma 120.00
loop_
_atom_site_label
_atom_site_type_symbol
_atom_site_fract_x
_atom_site_fract_y
_atom_site_fract_z
_atom_site_occupancy
Cs1 Cs 0.0000 0.0000 0.0000 1
Cs2 Cs 0.3333 0.6667 0.6993 1
K1 K 0.3333 0.6667 0.1944 1
Tb1 Tb 0.0000 0.0000 0.5000 1
F1 F 0.0000 0.5000 0.0000 1
F2 F 0.1496 0.2993 0.3489 1
```


Number 1: magnetic moment 0.15 μB per cell. Number 2: magnetic moment 0.00 μB per cell. Number 3: magnetic moment 0.68 μB per cell. Number 4: magnetic moment 0.00 μB per cell. Number 5: magnetic moment 0.00 μB per cell. Number 6: magnetic moment 0.00 μB per cell. Number 7: magnetic moment 0.00 μB per cell. Number 8: magnetic moment 1.17 μB per cell. Number 9: magnetic moment 0.06 μB per cell. Number 10: magnetic moment 1.34 μB per cell.